Record 1
Compound: Tb3Pm5Nd
Source: Alexandria via LeMat-Bulk
Functional: PBE
Structure: relaxed

Summary:
Relative energy among the computed polymorphs (eV/atom): 0.000
Energy of formation from the pure elements (eV per atom): 0.129
Calculated volume (Å³/atom): 33.9
Uncorrected energy (eV/atom): -4.58

Structure (POSCAR):
```
Tb3Pm5Nd
1.0
8.873 -4.708 0.000
8.873 4.708 0.000
0.000 0.000 7.311
Tb Pm Nd
6 10 2
Cartesian
0.000 0.000 0.000 Tb
0.000 0.000 3.656 Tb
3.177 -0.002 1.828 Tb
3.177 0.002 5.483 Tb
14.569 -0.002 1.828 Tb
14.569 0.002 5.483 Tb
5.951 1.662 0.004 Pm
5.951 1.662 3.651 Pm
8.873 1.588 5.483 Pm
11.794 1.662 0.004 Pm
11.794 1.662 3.651 Pm
5.951 -1.662 3.660 Pm
5.951 -1.662 7.307 Pm
8.873 -1.588 1.828 Pm
11.794 -1.662 3.660 Pm
11.794 -1.662 7.307 Pm
8.873 1.844 1.828 Nd
8.873 -1.844 5.483 Nd
```

Record 2
Compound: Tb2PmNd8
Source: Alexandria via LeMat-Bulk
Functional: PBE
Structure: relaxed

Summary:
Energy of formation from the pure elements (eV per atom): 0.161
Calculated volume (Å³/atom): 35.1
Uncorrected energy (eV/atom): -4.58

Structure (POSCAR):
```
Tb2PmNd8
1.0
8.500 -3.414 0.000
8.500 3.414 0.000
-1.177 0.000 6.657
Tb Pm Nd
2 1 8
Cartesian
3.035 0.000 2.044 Tb
12.789 0.000 4.613 Tb
-0.588 0.000 3.329 Pm
6.896 1.625 0.608 Nd
3.194 0.000 5.443 Nd
8.927 1.625 6.049 Nd
6.228 0.000 3.904 Nd
9.595 0.000 2.753 Nd
6.896 -1.625 0.608 Nd
12.629 0.000 1.214 Nd
8.927 -1.625 6.049 Nd
```